Li2VO2F | PBE with a Hubbard U | relaxed

Unit cell a=7.315 b=7.315 c=4.026 alpha=90.00 beta=90.00 gamma=147.91
Sites, in units of the cell vectors:
Li: 0.066 0.934 0.750
Li: 0.232 0.768 0.250
Li: 0.768 0.232 0.750
Li: 0.934 0.066 0.250
V: 0.418 0.582 0.750
V: 0.582 0.418 0.250
O: 0.090 0.910 0.250
O: 0.432 0.568 0.250
O: 0.568 0.432 0.750
O: 0.910 0.090 0.750
F: 0.265 0.735 0.750
F: 0.735 0.265 0.250

Properties
total magnetic moment	2.0	μB per formula unit
distance to the lowest polymorph of the same formula	0.060	eV per atom
crystal system	orthorhombic
symmetry	Cmcm
VASP energy	-74.04	eV per cell